Record 1
The following is a DFT calculation (PBE) of a relaxed structure of TaNbP2O.

Cell: 4.9051 4.9051 3.7721 Å, 90.00 90.00 90.00°
Positions (direct):
P 0.0000 0.5000 0.0000
P 0.5000 0.0000 0.0000
Ta 0.0000 0.0000 0.0000
Nb 0.5000 0.5000 0.5000
O 0.0000 0.0000 0.5000

Computed properties:
- Relative energy among the computed polymorphs: 0 meV/atom
- SG: P4/mmm, No. 123
- Total DFT energy (no corrections): -39.36 eV/cell
- Size of the total moment: 1.7 Bohr magnetons per cell
- E_form (uncorrected): -0.3316 eV per atom

Record 2
The following is a DFT calculation (PBE) of a relaxed structure of TaNbPO2.

Cell: 3.8633 3.8633 5.3340 Å, 90.00 90.00 90.00°
Positions (direct):
P 0.0000 0.0000 0.5000
O 0.0000 0.5000 0.0000
O 0.5000 0.0000 0.0000
Nb 0.5000 0.5000 0.5000
Ta 0.0000 0.0000 0.0000

Computed properties:
- Relative energy among the computed polymorphs: 0 meV/atom
- SG: P4/mmm, No. 123
- Total DFT energy (no corrections): -43.01 eV/cell
- Size of the total moment: 2.3 Bohr magnetons per cell
- E_form (uncorrected): -1.1520 eV per atom

Record 3
The following is a DFT calculation (PBE) of a relaxed structure of TaNbPO2.

Cell: 3.8504 3.8504 5.4897 Å, 90.00 90.00 90.00°
Positions (direct):
P 0.0000 0.0000 0.5000
Nb 0.0000 0.0000 0.0000
O 0.5000 0.0000 0.0000
O 0.0000 0.5000 0.0000
Ta 0.5000 0.5000 0.5000

Computed properties:
- Relative energy among the computed polymorphs: 342 meV/atom
- SG: P4/mmm, No. 123
- Total DFT energy (no corrections): -41.30 eV/cell
- Size of the total moment: 2.2 Bohr magnetons per cell
- E_form (uncorrected): -0.8103 eV per atom

Record 4
The following is a DFT calculation (PBE) of a relaxed structure of NbTcPO2.

Cell: 3.7479 3.7479 5.3878 Å, 90.00 90.00 90.00°
Positions (direct):
P 0.0000 0.0000 0.5000
Tc 0.0000 0.0000 0.0000
O 0.5000 0.0000 0.0000
O 0.0000 0.5000 0.0000
Nb 0.5000 0.5000 0.5000

Computed properties:
- Relative energy among the computed polymorphs: 297 meV/atom
- SG: P4/mmm, No. 123
- Total DFT energy (no corrections): -38.09 eV/cell
- Size of the total moment: 2.1 Bohr magnetons per cell
- E_form (uncorrected): -0.4646 eV per atom

Record 5
The following is a DFT calculation (PBE) of a relaxed structure of NbTcP2O.

Cell: 4.9214 4.9214 3.8244 Å, 90.00 90.00 90.00°
Positions (direct):
P 0.5000 0.0000 0.0000
P 0.0000 0.5000 0.0000
Tc 0.5000 0.5000 0.5000
Nb 0.0000 0.0000 0.0000
O 0.0000 0.0000 0.5000

Computed properties:
- Relative energy among the computed polymorphs: 38 meV/atom
- SG: P4/mmm, No. 123
- Total DFT energy (no corrections): -35.68 eV/cell
- Size of the total moment: 3.7 Bohr magnetons per cell
- E_form (uncorrected): 0.1058 eV per atom

Record 6
The following is a DFT calculation (PBE) of a relaxed structure of NbTcP2O.

Cell: 4.7701 4.7701 3.6265 Å, 90.00 90.00 90.00°
Positions (direct):
P 0.0000 0.5000 0.0000
P 0.5000 0.0000 0.0000
O 0.0000 0.0000 0.5000
Nb 0.5000 0.5000 0.5000
Tc 0.0000 0.0000 0.0000

Computed properties:
- Relative energy among the computed polymorphs: 0 meV/atom
- SG: P4/mmm, No. 123
- Total DFT energy (no corrections): -35.88 eV/cell
- Size of the total moment: 1.5 Bohr magnetons per cell
- E_form (uncorrected): 0.0677 eV per atom

Among the records above, which one has the highest relative energy among the computed polymorphs? number 3

Which of these has the highest size of the total moment? number 5

Repeat the second record exactly.
The following is a DFT calculation (PBE) of a relaxed structure of TaNbPO2.

Cell: 3.8633 3.8633 5.3340 Å, 90.00 90.00 90.00°
Positions (direct):
P 0.0000 0.0000 0.5000
O 0.0000 0.5000 0.0000
O 0.5000 0.0000 0.0000
Nb 0.5000 0.5000 0.5000
Ta 0.0000 0.0000 0.0000

Computed properties:
- Relative energy among the computed polymorphs: 0 meV/atom
- SG: P4/mmm, No. 123
- Total DFT energy (no corrections): -43.01 eV/cell
- Size of the total moment: 2.3 Bohr magnetons per cell
- E_form (uncorrected): -1.1520 eV per atom

Look up the E_form (uncorrected) of the second one. -1.1520 eV per atom